The following is a PBE calculation of crystalline ScAgW2 at its relaxed geometry, from Alexandria via LeMat-Bulk.

```
ScAgW2
1.0
1.636 -2.303 0.000
1.636 2.303 0.000
0.000 0.000 9.332
Sc Ag W
1 1 2
direct
0.000 0.000 0.000 Sc
0.500 0.500 0.264 Ag
0.000 0.000 0.519 W
0.500 0.500 0.746 W
```

For the density of states at the Fermi level, the calculation gives 3.11 states/eV per cell. As for the formation energy from the elements: 0.933 eV per formula unit. The total energy is -8.54 eV/atom.

---

The following is a PBE calculation of crystalline ScAgW2 at its relaxed geometry, from Alexandria via LeMat-Bulk.

```
ScAgW2
1.0
3.288 0.000 0.000
0.000 3.288 0.000
0.000 0.000 6.626
Sc Ag W
1 1 2
direct
0.000 0.000 0.000 Sc
0.500 0.500 0.737 Ag
0.000 0.000 0.464 W
0.500 0.500 0.267 W
```

For the density of states at the Fermi level, the calculation gives 4.90 states/eV per cell. As for the formation energy from the elements: 0.942 eV per formula unit. The total energy is -8.54 eV/atom.

---

Number 1: energy relative to the lowest polymorph listed for this composition 0.000 eV/atom. Number 2: energy relative to the lowest polymorph listed for this composition 0.002 eV/atom.